Entry from Alexandria: an optimized crystal structure of BRuSe3 (GGA-PBEsol). Values from VASP.

* E_form (uncorrected): 1303.9 meV/atom
* space group: Pm-3m (221)

```
&SYSTEM
  ibrav = 0, nat = 5, ntyp = 3
/
ATOMIC_SPECIES
Ru 101.07 Ru.upf
B 10.81 B.upf
Se 78.96 Se.upf
CELL_PARAMETERS angstrom
4.773 0.000 0.000
0.000 4.773 0.000
0.000 0.000 4.773
ATOMIC_POSITIONS crystal
Ru 0.000 0.000 0.000
B 0.500 0.500 0.500
Se 0.000 0.500 0.000
Se 0.500 0.000 0.000
Se 0.000 0.000 0.500
```

Entry from Alexandria: an optimized crystal structure of SiB2Ru2 (GGA-PBEsol). Values from VASP.

* E_form (uncorrected): -497.0 meV/atom
* space group: I4/mmm (139)

```
&SYSTEM
  ibrav = 0, nat = 5, ntyp = 3
/
ATOMIC_SPECIES
B 10.81 B.upf
Ru 101.07 Ru.upf
Si 28.09 Si.upf
CELL_PARAMETERS angstrom
-2.380 -1.438 0.771
-0.303 -0.951 -2.707
4.753 -3.730 2.316
ATOMIC_POSITIONS crystal
B 0.250 0.750 0.500
Ru 0.617 0.617 0.233
Ru 0.383 0.383 0.767
B 0.750 0.250 0.500
Si 0.000 0.000 0.000
```

Entry from Alexandria: an optimized crystal structure of Si3BRu (GGA-PBEsol). Values from VASP.

* E_form (uncorrected): 1167.8 meV/atom
* space group: Pm-3m (221)

```
&SYSTEM
  ibrav = 0, nat = 5, ntyp = 3
/
ATOMIC_SPECIES
Si 28.09 Si.upf
Ru 101.07 Ru.upf
B 10.81 B.upf
CELL_PARAMETERS angstrom
-1.336 -0.622 -4.267
3.037 -3.307 -0.469
-3.061 -3.009 1.398
ATOMIC_POSITIONS crystal
Si 0.500 0.000 0.000
Ru 0.000 0.000 0.000
Si 0.000 0.500 0.000
B 0.500 0.500 0.500
Si 0.000 0.000 0.500
```

Entry from Alexandria: an optimized crystal structure of Sr2B8Ru7 (GGA-PBEsol). Values from VASP.

* space group: P4_2/m (84)
* E_form: -0.39 eV/atom

```
&SYSTEM
  ibrav = 0, nat = 34, ntyp = 3
/
ATOMIC_SPECIES
Ru 101.07 Ru.upf
B 10.81 B.upf
Sr 87.62 Sr.upf
CELL_PARAMETERS angstrom
6.405 0.000 0.000
0.000 6.405 0.000
0.000 0.000 10.124
ATOMIC_POSITIONS crystal
Ru 0.712 0.406 0.000
B 0.500 0.500 0.659
Ru 0.000 0.000 0.250
Ru 0.605 0.206 0.256
B 0.724 0.897 0.331
Ru 0.288 0.594 0.000
B 0.000 0.500 0.912
Ru 0.206 0.395 0.756
Ru 0.395 0.794 0.744
B 0.500 0.500 0.159
Sr 0.268 0.108 0.000
B 0.103 0.724 0.831
Ru 0.395 0.794 0.256
Ru 0.406 0.288 0.500
B 0.103 0.724 0.169
Ru 0.794 0.605 0.756
B 0.897 0.276 0.169
Sr 0.732 0.892 0.000
B 0.000 0.500 0.088
B 0.500 0.500 0.841
Ru 0.206 0.395 0.244
Sr 0.108 0.732 0.500
B 0.276 0.103 0.331
B 0.897 0.276 0.831
B 0.724 0.897 0.669
Ru 0.794 0.605 0.244
Ru 0.594 0.712 0.500
Ru 0.605 0.206 0.744
B 0.500 0.000 0.412
Sr 0.892 0.268 0.500
Ru 0.000 0.000 0.750
B 0.500 0.000 0.588
B 0.500 0.500 0.341
B 0.276 0.103 0.669
```

Entry from Alexandria: an optimized crystal structure of TaBRu (GGA-PBEsol). Values from VASP.

* space group: Pmma (51)
* E_form: -0.65 eV/atom

```
&SYSTEM
  ibrav = 0, nat = 18, ntyp = 3
/
ATOMIC_SPECIES
Ru 101.07 Ru.upf
Ta 180.95 Ta.upf
B 10.81 B.upf
CELL_PARAMETERS angstrom
-2.309 2.052 -0.700
-4.067 -3.427 3.369
2.441 5.742 8.786
ATOMIC_POSITIONS crystal
Ru 0.500 0.202 0.750
Ru 0.500 0.427 0.375
Ta 0.000 0.223 0.956
Ru 0.500 0.798 0.250
B 0.500 0.950 0.915
B 0.500 0.050 0.415
Ta 0.000 0.777 0.044
B 0.500 0.050 0.085
Ru 0.500 0.573 0.875
B 0.000 0.450 0.750
Ru 0.500 0.573 0.625
Ta 0.000 0.856 0.750
Ru 0.500 0.427 0.125
B 0.000 0.550 0.250
Ta 0.000 0.777 0.456
Ta 0.000 0.223 0.544
Ta 0.000 0.144 0.250
B 0.500 0.950 0.585
```

Entry from Alexandria: an optimized crystal structure of Ta2B2Ru (GGA-PBEsol). Values from VASP.

* space group: P4/mbm (127)
* E_form: -0.71 eV/atom

```
&SYSTEM
  ibrav = 0, nat = 10, ntyp = 3
/
ATOMIC_SPECIES
Ru 101.07 Ru.upf
B 10.81 B.upf
Ta 180.95 Ta.upf
CELL_PARAMETERS angstrom
-1.154 -2.394 2.199
4.830 0.585 3.171
-2.574 4.140 3.156
ATOMIC_POSITIONS crystal
Ru 0.000 0.000 0.000
B 0.000 0.885 0.615
Ta 0.500 0.176 0.676
Ta 0.500 0.324 0.176
B 0.000 0.385 0.885
Ru 0.000 0.500 0.500
Ta 0.500 0.676 0.824
B 0.000 0.115 0.385
B 0.000 0.615 0.115
Ta 0.500 0.824 0.324
```

Entry from Alexandria: an optimized crystal structure of TaBRu (GGA-PBEsol). Values from VASP.

* space group: Pbam (55)
* E_form: -0.66 eV/atom

```
&SYSTEM
  ibrav = 0, nat = 36, ntyp = 3
/
ATOMIC_SPECIES
Ta 180.95 Ta.upf
B 10.81 B.upf
Ru 101.07 Ru.upf
CELL_PARAMETERS angstrom
-0.619 0.703 -3.001
-2.396 -8.410 -1.477
-14.521 3.467 3.808
ATOMIC_POSITIONS crystal
Ta 0.000 0.802 0.495
Ta 0.000 0.985 0.095
Ta 0.000 0.485 0.405
B 0.500 0.105 0.004
B 0.500 0.285 0.400
Ta 0.000 0.515 0.595
Ta 0.000 0.315 0.796
Ru 0.500 0.984 0.595
Ru 0.500 0.564 0.735
Ru 0.500 0.064 0.765
B 0.500 0.605 0.496
Ru 0.500 0.221 0.144
Ru 0.500 0.484 0.905
Ta 0.000 0.015 0.905
Ru 0.500 0.279 0.644
B 0.500 0.215 0.900
Ta 0.000 0.198 0.505
B 0.000 0.391 0.168
Ru 0.500 0.779 0.856
Ru 0.500 0.016 0.405
Ru 0.500 0.516 0.095
Ta 0.000 0.698 0.995
Ta 0.000 0.302 0.005
B 0.500 0.395 0.504
Ru 0.500 0.436 0.265
Ta 0.000 0.185 0.296
B 0.000 0.609 0.832
B 0.000 0.891 0.332
Ta 0.000 0.815 0.704
Ru 0.500 0.936 0.235
B 0.000 0.109 0.668
Ru 0.500 0.721 0.356
B 0.500 0.895 0.996
B 0.500 0.715 0.600
B 0.500 0.785 0.100
Ta 0.000 0.685 0.204
```

Entry from Alexandria: an optimized crystal structure of Ta3B2Ru5 (GGA-PBEsol). Values from VASP.

* space group: P4/mbm (127)
* E_form: -0.53 eV/atom

```
&SYSTEM
  ibrav = 0, nat = 20, ntyp = 3
/
ATOMIC_SPECIES
Ta 180.95 Ta.upf
Ru 101.07 Ru.upf
B 10.81 B.upf
CELL_PARAMETERS angstrom
-0.298 -1.591 2.503
8.542 2.668 2.712
-3.688 7.444 4.292
ATOMIC_POSITIONS crystal
Ta 0.000 0.000 0.000
Ru 0.500 0.500 0.000
Ta 0.000 0.676 0.176
Ru 0.500 0.571 0.718
Ta 0.000 0.500 0.500
Ru 0.500 0.929 0.218
Ru 0.500 0.429 0.282
B 0.000 0.621 0.879
B 0.000 0.379 0.121
Ta 0.000 0.324 0.824
Ta 0.000 0.176 0.324
Ru 0.500 0.782 0.929
Ru 0.500 0.218 0.071
Ta 0.000 0.824 0.676
Ru 0.500 0.282 0.571
B 0.000 0.121 0.621
Ru 0.500 0.000 0.500
Ru 0.500 0.718 0.429
Ru 0.500 0.071 0.782
B 0.000 0.879 0.379
```

Entry from Alexandria: an optimized crystal structure of TbB4Ru4 (GGA-PBEsol). Values from VASP.

* space group: I4_1/acd (142)
* E_form: -0.52 eV/atom

```
&SYSTEM
  ibrav = 0, nat = 36, ntyp = 3
/
ATOMIC_SPECIES
Tb 158.93 Tb.upf
Ru 101.07 Ru.upf
B 10.81 B.upf
CELL_PARAMETERS angstrom
-4.995 4.000 3.737
2.982 -2.254 6.399
5.623 4.976 -5.158
ATOMIC_POSITIONS crystal
Tb 0.750 0.750 0.500
Ru 0.959 0.196 0.624
Ru 0.791 0.822 0.876
Tb 0.500 0.000 0.000
B 0.001 0.527 0.337
Ru 0.291 0.554 0.876
B 0.336 0.810 0.337
Ru 0.072 0.835 0.376
B 0.560 0.586 0.837
B 0.060 0.751 0.837
B 0.473 0.664 0.663
B 0.277 0.251 0.837
B 0.414 0.723 0.163
Ru 0.946 0.209 0.124
Ru 0.585 0.322 0.876
B 0.973 0.499 0.663
B 0.190 0.999 0.663
Ru 0.178 0.915 0.124
Ru 0.572 0.041 0.376
Ru 0.304 0.541 0.376
B 0.249 0.223 0.163
Ru 0.804 0.335 0.376
Ru 0.665 0.428 0.624
B 0.501 0.310 0.337
Ru 0.085 0.054 0.876
Ru 0.678 0.709 0.124
B 0.690 0.164 0.663
B 0.836 0.027 0.337
Ru 0.446 0.415 0.124
Tb 0.250 0.250 0.500
Ru 0.165 0.696 0.624
B 0.749 0.440 0.163
B 0.914 0.940 0.163
B 0.777 0.086 0.837
Tb 0.000 0.500 0.000
Ru 0.459 0.928 0.624
```

Entry from Alexandria: an optimized crystal structure of TbB2Ru3 (GGA-PBEsol). Values from VASP.

* space group: P6/mmm (191)
* E_form: -0.48 eV/atom

```
&SYSTEM
  ibrav = 0, nat = 6, ntyp = 3
/
ATOMIC_SPECIES
B 10.81 B.upf
Ru 101.07 Ru.upf
Tb 158.93 Tb.upf
CELL_PARAMETERS angstrom
-0.998 -1.655 -2.284
1.723 -4.517 2.521
-5.055 1.848 0.870
ATOMIC_POSITIONS crystal
B 0.000 0.667 0.333
Ru 0.500 0.500 0.500
Ru 0.500 0.500 0.000
Tb 0.000 0.000 0.000
Ru 0.500 0.000 0.500
B 0.000 0.333 0.667
```

Entry from Alexandria: an optimized crystal structure of BTe2Ru (GGA-PBEsol). Values from VASP.

* E_form (uncorrected): 511.3 meV/atom
* space group: I-42d (122)

```
&SYSTEM
  ibrav = 0, nat = 8, ntyp = 3
/
ATOMIC_SPECIES
Ru 101.07 Ru.upf
Te 127.60 Te.upf
B 10.81 B.upf
CELL_PARAMETERS angstrom
5.648 0.000 0.000
0.000 5.648 0.000
-2.824 -2.824 5.257
ATOMIC_POSITIONS crystal
Ru 0.000 0.000 0.000
Ru 0.250 0.750 0.500
Te 0.840 0.375 0.250
Te 0.410 0.875 0.250
Te 0.125 0.160 0.750
B 0.500 0.500 0.000
Te 0.625 0.590 0.750
B 0.750 0.250 0.500
```

Entry from Alexandria: an optimized crystal structure of BTe2Ru (GGA-PBEsol). Values from VASP.

* E_form (uncorrected): 997.8 meV/atom
* space group: R-3m (166)

```
&SYSTEM
  ibrav = 0, nat = 4, ntyp = 3
/
ATOMIC_SPECIES
Te 127.60 Te.upf
Ru 101.07 Ru.upf
B 10.81 B.upf
CELL_PARAMETERS angstrom
3.304 0.000 0.000
1.652 2.861 0.000
1.652 0.954 7.894
ATOMIC_POSITIONS crystal
Te 0.104 0.104 0.687
Ru 0.000 0.000 0.000
B 0.500 0.500 0.500
Te 0.896 0.896 0.313
```

Entry from Alexandria: an optimized crystal structure of TmB2Ru3 (GGA-PBEsol). Values from VASP.

* space group: P6/mmm (191)
* E_form: -0.50 eV/atom

```
&SYSTEM
  ibrav = 0, nat = 6, ntyp = 3
/
ATOMIC_SPECIES
B 10.81 B.upf
Ru 101.07 Ru.upf
Tm 168.93 Tm.upf
CELL_PARAMETERS angstrom
-0.083 2.874 0.803
-5.419 -0.201 0.160
2.890 -1.158 4.443
ATOMIC_POSITIONS crystal
B 0.000 0.333 0.667
Ru 0.500 0.000 0.500
B 0.000 0.667 0.333
Tm 0.000 0.000 0.000
Ru 0.500 0.500 0.000
Ru 0.500 0.500 0.500
```

Entry from Alexandria: an optimized crystal structure of Tm2B6Ru (GGA-PBEsol). Values from VASP.

* space group: Pbam (55)
* E_form: -0.79 eV/atom

```
&SYSTEM
  ibrav = 0, nat = 36, ntyp = 3
/
ATOMIC_SPECIES
B 10.81 B.upf
Tm 168.93 Tm.upf
Ru 101.07 Ru.upf
CELL_PARAMETERS angstrom
3.570 0.000 0.000
0.000 9.007 0.000
0.000 0.000 11.360
ATOMIC_POSITIONS crystal
B 0.500 0.251 0.580
B 0.500 0.869 0.685
B 0.500 0.106 0.471
Tm 0.000 0.057 0.628
Ru 0.000 0.138 0.179
B 0.500 0.369 0.815
B 0.500 0.709 0.766
B 0.500 0.554 0.433
Tm 0.000 0.179 0.914
B 0.500 0.446 0.567
B 0.500 0.946 0.933
B 0.500 0.482 0.287
Tm 0.000 0.321 0.414
B 0.500 0.606 0.029
B 0.500 0.791 0.266
B 0.500 0.894 0.529
Tm 0.000 0.943 0.372
B 0.500 0.054 0.067
B 0.500 0.209 0.734
Tm 0.000 0.443 0.128
Ru 0.000 0.362 0.679
B 0.500 0.291 0.234
B 0.500 0.394 0.971
Ru 0.000 0.862 0.821
B 0.500 0.751 0.920
B 0.500 0.131 0.315
B 0.500 0.518 0.713
B 0.500 0.749 0.420
Ru 0.000 0.638 0.321
Tm 0.000 0.821 0.086
Tm 0.000 0.679 0.586
Tm 0.000 0.557 0.872
B 0.500 0.249 0.080
B 0.500 0.982 0.213
B 0.500 0.631 0.185
B 0.500 0.018 0.787
```

Entry from Alexandria: an optimized crystal structure of TmB4Ru4 (GGA-PBEsol). Values from VASP.

* space group: I4_1/acd (142)
* E_form: -0.53 eV/atom

```
&SYSTEM
  ibrav = 0, nat = 36, ntyp = 3
/
ATOMIC_SPECIES
Ru 101.07 Ru.upf
Tm 168.93 Tm.upf
B 10.81 B.upf
CELL_PARAMETERS angstrom
7.380 0.000 0.000
0.000 7.380 0.000
-3.690 -3.690 7.435
ATOMIC_POSITIONS crystal
Ru 0.572 0.337 0.376
Tm 0.250 0.250 0.500
Tm 0.500 0.000 0.000
Ru 0.946 0.913 0.124
Ru 0.789 0.054 0.876
Ru 0.072 0.539 0.376
B 0.972 0.163 0.663
B 0.059 0.087 0.837
Ru 0.587 0.554 0.876
Ru 0.446 0.711 0.124
Ru 0.961 0.428 0.624
B 0.278 0.587 0.837
B 0.749 0.722 0.163
Ru 0.678 0.413 0.124
B 0.913 0.222 0.163
Ru 0.289 0.322 0.876
Tm 0.750 0.750 0.500
B 0.413 0.441 0.163
B 0.249 0.941 0.163
B 0.337 0.528 0.337
B 0.778 0.751 0.837
B 0.691 0.499 0.663
B 0.001 0.809 0.337
B 0.472 0.999 0.663
Ru 0.663 0.196 0.624
Ru 0.163 0.928 0.624
Tm 0.000 0.500 0.000
Ru 0.304 0.837 0.376
Ru 0.461 0.696 0.624
Ru 0.178 0.211 0.124
B 0.191 0.663 0.663
Ru 0.087 0.822 0.876
Ru 0.804 0.039 0.376
B 0.559 0.251 0.837
B 0.501 0.028 0.337
B 0.837 0.309 0.337
```

Entry from Alexandria: an optimized crystal structure of UB4Ru4 (GGA-PBEsol). Values from VASP.

* space group: I4_1/acd (142)
* E_form: -0.43 eV/atom

```
&SYSTEM
  ibrav = 0, nat = 36, ntyp = 3
/
ATOMIC_SPECIES
B 10.81 B.upf
U 238.03 U.upf
Ru 101.07 Ru.upf
CELL_PARAMETERS angstrom
7.393 0.000 0.000
0.000 7.393 0.000
-3.697 -3.697 7.442
ATOMIC_POSITIONS crystal
B 0.692 0.163 0.665
U 0.250 0.250 0.500
B 0.473 0.663 0.665
B 0.337 0.808 0.335
Ru 0.448 0.409 0.124
B 0.498 0.308 0.335
Ru 0.073 0.841 0.376
B 0.752 0.442 0.165
B 0.277 0.248 0.835
Ru 0.785 0.823 0.876
Ru 0.302 0.535 0.376
U 0.750 0.750 0.500
B 0.558 0.587 0.835
B 0.973 0.502 0.665
B 0.413 0.723 0.165
Ru 0.465 0.927 0.624
Ru 0.177 0.909 0.124
B 0.058 0.748 0.835
Ru 0.677 0.715 0.124
Ru 0.948 0.215 0.124
Ru 0.285 0.552 0.876
Ru 0.159 0.698 0.624
Ru 0.802 0.341 0.376
U 0.500 0.000 0.000
Ru 0.591 0.323 0.876
Ru 0.091 0.052 0.876
B 0.998 0.527 0.335
B 0.777 0.087 0.835
B 0.252 0.223 0.165
B 0.913 0.942 0.165
B 0.837 0.027 0.335
Ru 0.965 0.198 0.624
Ru 0.573 0.035 0.376
U 0.000 0.500 0.000
Ru 0.659 0.427 0.624
B 0.192 0.002 0.665
```

The calculation returns the following DOS(E_F) values, one per record and in order: 6.7, 0.8, 3.2, 10.9, 8.7, 3.9, 18.3, 2.6, 29.5, 4.0, 5.6, 2.6, 4.2, 3.5, 30.0, 29.2 states/eV/cell.
The calculation returns the following total magnetic moment values, one per record and in order: 0.00, 0.00, 0.00, 0.00, 0.00, 0.00, 0.00, 0.00, 0.00, 0.00, 0.00, 0.00, 0.00, 0.00, 0.00, 3.60 μB/cell.
The calculation returns the following energy values, one per record and in order: -4.44, -8.52, -5.72, -8.10, -10.56, -10.57, -10.57, -10.79, -8.72, -8.74, -5.55, -5.06, -8.74, -7.69, -8.71, -9.42 eV/atom.